Computed, not measured: GaHg3I after structural relaxation at the PBEsol level of DFT.

Cell: 5.228 5.228 5.228 Å, 90.00 90.00 90.00°
Space group Pm-3m (No. 221)
Asymmetric unit:
Ga 0.000 0.000 0.000 [1 per cell]
Hg 0.000 0.000 0.500 [3 per cell]
I 0.500 0.500 0.500 [1 per cell]

Properties
M_tot	0.00	μB per formula unit
energy relative to the elements, uncorrected	-0.8	kcal/mol of atoms